## w
DFT (PBE) results for a relaxed structure of PuPaFeNi.

Fermi-level density of states ... 1.760 states/eV/atom
M_tot ... 3.256 μB/f.u.

a = 4.5111 Å, b = 4.5111 Å, c = 4.5111 Å
α = 60.00°, β = 60.00°, γ = 60.00°
Positions (direct):
Pa (0.0000, 0.0000, 0.0000)
Pu (0.2500, 0.2500, 0.2500)
Ni (0.5000, 0.5000, 0.5000)
Fe (0.7500, 0.7500, 0.7500)

## x
DFT (PBE) results for a relaxed structure of PuPaFeNi.

Fermi-level density of states ... 2.785 states/eV/atom
M_tot ... 4.828 μB/f.u.

a = 4.6980 Å, b = 4.6980 Å, c = 4.6980 Å
α = 60.00°, β = 60.00°, γ = 60.00°
Positions (direct):
Fe (0.0000, 0.0000, 0.0000)
Pu (0.7500, 0.7500, 0.7500)
Pa (0.2500, 0.2500, 0.2500)
Ni (0.5000, 0.5000, 0.5000)

Most stable structure, least stable structure: w, x.

## w
DFT (PBE) results for a relaxed structure of FeNiPb2.

Fermi-level density of states ... 1.022 states/eV/atom
M_tot ... 3.020 μB/f.u.

a = 4.8954 Å, b = 4.8954 Å, c = 4.8954 Å
α = 60.00°, β = 60.00°, γ = 60.00°
Positions (direct):
Pb (0.0000, 0.0000, 0.0000)
Pb (0.2500, 0.2500, 0.2500)
Ni (0.7500, 0.7500, 0.7500)
Fe (0.5000, 0.5000, 0.5000)

## x
DFT (PBE) results for a relaxed structure of FeNiPb2.

Fermi-level density of states ... 1.005 states/eV/atom
M_tot ... 2.729 μB/f.u.

a = 4.7335 Å, b = 4.7573 Å, c = 3.3981 Å
α = 90.00°, β = 90.00°, γ = 90.00°
Positions (direct):
Ni (0.0000, 0.5000, 0.5000)
Pb (0.5000, 0.5000, 0.0000)
Pb (0.0000, 0.0000, 0.0000)
Fe (0.5000, 0.0000, 0.5000)

Most stable structure, least stable structure: x, w.